! TcAgPt, optimized geometry, DFT GGA-PBE; values from VASP
! Calculated total energy: -18.81 eV for the cell shown
! Formation energy: 0.1499 eV/atom
! ΔE to the lowest computed polymorph: 215 meV/atom
! DOS at the Fermi energy: 3.2 states/eV/cell
&SYSTEM
  ibrav = 0, nat = 3, ntyp = 3
/
ATOMIC_SPECIES
Ag 107.87 Ag.upf
Pt 195.08 Pt.upf
Tc 98.00 Tc.upf
CELL_PARAMETERS angstrom
6.456 -0.028 0.029
5.865 2.700 0.022
0.592 0.135 2.724
ATOMIC_POSITIONS crystal
Ag 0.999 0.999 0.001
Pt 0.678 0.678 0.322
Tc 0.323 0.323 0.677